Record 1
{
  "formula": "Cr2CuTc",
  "functional": "PBE-GGA",
  "state": "optimized geometry",
  "cell": [[2.516, 0.000, 0.000], [0.000, 2.516, 0.000], [0.000, 0.000, 8.031]],
  "species": ["Cr", "Cr", "Cu", "Tc"],
  "fractional_positions": [[0.000, 0.000, 0.000], [0.500, 0.500, 0.238], [0.000, 0.000, 0.482], [0.500, 0.500, 0.745]],
  "space_group": "P4mm, No. 99",
  "rho_g_cm3": 8.676,
  "e_form_ev_per_atom": 0.308,
  "energy_ev_per_atom": -8.12
}

---

Record 2
{
  "formula": "PmNdSi",
  "functional": "PBE-GGA",
  "state": "optimized geometry",
  "cell": [[0.000, 3.543, 3.543], [3.543, 0.000, 3.543], [3.543, 3.543, 0.000]],
  "species": ["Pm", "Nd", "Si"],
  "fractional_positions": [[0.000, 0.000, 0.000], [0.500, 0.500, 0.500], [0.750, 0.750, 0.750]],
  "space_group": "F-43m, No. 216",
  "rho_g_cm3": 5.925,
  "formation_energy_uncorrected_ev_per_atom": -0.44,
  "relative_energy_ev_per_atom": 0.040,
  "energy_ev_per_atom": -5.42
}

---

Number 1: density of states at the Fermi level 1.168 states/eV/atom. Number 2: density of states at the Fermi level 0.917 states/eV/atom.